(1)
VASP calculation (GGA-PBE) on a geometry-optimized Sc3NbNi structure.

Computed properties:
Density of states at the Fermi level (states/eV per cell): 4.396
DFT formation energy (meV/atom): 904

a = 4.960 Å, b = 4.960 Å, c = 4.960 Å
α = 90.00°, β = 90.00°, γ = 90.00°
Positions (direct):
Sc 0.000 0.000 0.500
Sc 0.000 0.500 0.000
Sc 0.500 0.000 0.000
Nb 0.000 0.000 0.000
Ni 0.500 0.500 0.500



(2)
VASP calculation (GGA-PBE) on a geometry-optimized ScNbNi10 structure.

Computed properties:
Density of states at the Fermi level (states/eV per cell): 15.473
DFT formation energy (meV/atom): -160

a = 3.966 Å, b = 4.702 Å, c = 8.132 Å
α = 90.00°, β = 90.00°, γ = 90.00°
Positions (direct):
Ni 0.500 0.254 0.255
Ni 0.500 0.500 0.000
Ni 0.500 0.254 0.745
Ni 0.000 0.500 0.172
Ni 0.000 0.000 0.663
Ni 0.000 0.000 0.337
Ni 0.500 0.746 0.745
Ni 0.000 0.500 0.828
Ni 0.500 0.000 0.500
Ni 0.500 0.746 0.255
Sc 0.000 0.000 0.000
Nb 0.000 0.500 0.500



(3)
VASP calculation (GGA-PBE) on a geometry-optimized ScNb2Ni2 structure.

Computed properties:
Density of states at the Fermi level (states/eV per cell): 10.871
DFT formation energy (meV/atom): -132

a = 7.162 Å, b = 7.162 Å, c = 3.142 Å
α = 90.00°, β = 90.00°, γ = 90.00°
Positions (direct):
Ni 0.621 0.121 0.000
Ni 0.121 0.379 0.000
Ni 0.879 0.621 0.000
Ni 0.379 0.879 0.000
Nb 0.173 0.673 0.500
Nb 0.827 0.327 0.500
Nb 0.327 0.173 0.500
Nb 0.673 0.827 0.500
Sc 0.000 0.000 0.000
Sc 0.500 0.500 0.000